Entry 1:
## Pu4CdGe2 (PBE-GGA)

Data for crystalline Pu4CdGe2 at its relaxed geometry.

a = 4.8588 Å, b = 4.8588 Å, c = 26.9698 Å
α = 90.00°, β = 90.00°, γ = 120.00°
Last column: nearest neighbours and their distance in Å.
Space group R-3m (No. 166, hexagonal axes)
One atom of each set of equivalent atoms:
1 Pu 0.0000 0.0000 0.0422 (multiplicity 6)  1 Pu 2.28
2 Pu 0.0000 0.0000 0.2913 (multiplicity 6)  3 Pu 2.81, 4 Ge 2.91-3.04
3 Cd 0.0000 0.0000 0.5000 (multiplicity 3)  2 Ge 2.59
4 Ge 0.0000 0.0000 0.4038 (multiplicity 6)  1 Cd 2.59

## Properties
Total magnetic moment = 0.8395 μB/atom
Energy of formation from the pure elements = 0.08 eV per atom
Final energy = -200.711 eV per cell

=====

Entry 2:
## Pu2CdGe (PBE-GGA)

Data for crystalline Pu2CdGe at its relaxed geometry.

a = 3.2692 Å, b = 3.2692 Å, c = 33.5477 Å
α = 90.00°, β = 90.00°, γ = 120.00°
Last column: nearest neighbours and their distance in Å.
Space group R-3m (No. 166, hexagonal axes)
One atom of each set of equivalent atoms:
1 Pu 0.0000 0.0000 0.0975 (multiplicity 6)  3 Ge 2.99, 6 Pu 3.27, 1 Cd 3.27
2 Cd 0.0000 0.0000 0.0000 (multiplicity 3)  6 Cd 3.27, 2 Pu 3.27
3 Ge 0.0000 0.0000 0.5000 (multiplicity 3)  6 Pu 2.99, 6 Ge 3.27

## Properties
Total magnetic moment = 2.9752 μB/atom
Energy of formation from the pure elements = 0.11 eV per atom
Final energy = -101.242 eV per cell

=====

Entry 3:
## Pu6CdGe5 (PBE-GGA)

Data for crystalline Pu6CdGe5 at its relaxed geometry.

a = 5.5139 Å, b = 5.9042 Å, c = 16.5755 Å
α = 90.00°, β = 90.00°, γ = 90.00°
Last column: nearest neighbours and their distance in Å.
Space group Immm (No. 71)
One atom of each set of equivalent atoms:
1 Pu 0.0000 0.2372 0.0000 (multiplicity 4)  2 Pu 2.80-3.10, 6 Ge 3.08-3.09
2 Pu 0.0000 0.2555 0.3258 (multiplicity 8)  2 Pu 2.89-3.02, 7 Ge 3.05-3.23
3 Cd 0.0000 0.0000 0.5000 (multiplicity 2)  2 Ge 2.95, 8 Pu 3.16-3.26
4 Ge 0.0000 0.0000 0.1661 (multiplicity 4)  2 Ge 2.95, 8 Pu 3.05-3.11
5 Ge 0.0000 0.5000 0.1603 (multiplicity 4)  2 Ge 2.95, 8 Pu 3.08-3.15
6 Ge 0.0000 0.5000 0.5000 (multiplicity 2)  2 Cd 2.95, 8 Pu 3.09-3.23

## Properties
Total magnetic moment = 0.9164 μB/atom
Energy of formation from the pure elements = -0.35 eV per atom
Final energy = -228.335 eV per cell

=====

Entry 4:
## PuCdGe4 (PBE-GGA)

Data for crystalline PuCdGe4 at its relaxed geometry.

a = 7.9070 Å, b = 7.9070 Å, c = 7.9070 Å
α = 90.00°, β = 90.00°, γ = 90.00°
Last column: nearest neighbours and their distance in Å.
Space group F-43m (No. 216)
One atom of each set of equivalent atoms:
1 Pu 0.0000 0.0000 0.0000 (multiplicity 4)  12 Ge 3.28, 4 Cd 3.42
2 Cd 0.2500 0.2500 0.7500 (multiplicity 4)  12 Ge 3.28, 4 Pu 3.42
3 Ge 0.1249 0.1249 0.3751 (multiplicity 16)  6 Ge 2.79-2.80

## Properties
Total magnetic moment = 0.9086 μB/atom
Energy of formation from the pure elements = -0.05 eV per atom
Final energy = -136.103 eV per cell

=====

Entry 5:
## Pu2CdGe2Rh5 (PBE-GGA)

Data for crystalline Pu2CdGe2Rh5 at its relaxed geometry.

a = 9.8620 Å, b = 9.8620 Å, c = 3.6395 Å
α = 90.00°, β = 90.00°, γ = 90.00°
Last column: nearest neighbours and their distance in Å.
Space group P4/mbm (No. 127)
One atom of each set of equivalent atoms:
1 Pu 0.1750 0.3250 0.0000 (multiplicity 4)  3 Ge 2.81-2.99, 6 Rh 3.04-3.14
2 Cd 0.0000 0.0000 0.0000 (multiplicity 2)  8 Rh 2.85
3 Ge 0.1236 0.6236 0.0000 (multiplicity 4)  6 Rh 2.50-2.51
4 Rh 0.0000 0.5000 0.5000 (multiplicity 2)  4 Ge 2.51
5 Rh 0.0686 0.7883 0.5000 (multiplicity 8)  2 Ge 2.50

## Properties
Total magnetic moment = 1.0058 μB/atom
Energy of formation from the pure elements = -0.50 eV per atom
Final energy = -161.073 eV per cell

=====

Entry 6:
## SmPuCdGe (PBE-GGA)

Data for crystalline SmPuCdGe at its relaxed geometry.

a = 7.3968 Å, b = 7.3968 Å, c = 7.3968 Å
α = 90.00°, β = 90.00°, γ = 90.00°
Last column: nearest neighbours and their distance in Å.
Space group F-43m (No. 216)
One atom of each set of equivalent atoms:
1 Sm 0.0000 0.0000 0.0000 (multiplicity 4)  4 Cd 3.20, 4 Ge 3.20
2 Pu 0.0000 0.0000 0.5000 (multiplicity 4)  4 Ge 3.20, 4 Cd 3.20
3 Cd 0.2500 0.2500 0.2500 (multiplicity 4)  4 Pu 3.20, 4 Sm 3.20
4 Ge 0.2500 0.2500 0.7500 (multiplicity 4)  4 Sm 3.20, 4 Pu 3.20

## Properties
Total magnetic moment = 1.6492 μB/atom
Energy of formation from the pure elements = -0.31 eV per atom
Final energy = -103.230 eV per cell

=====

Entry 7:
## PuThCdGe (PBE-GGA)

Data for crystalline PuThCdGe at its relaxed geometry.

a = 7.4256 Å, b = 7.4256 Å, c = 7.4256 Å
α = 90.00°, β = 90.00°, γ = 90.00°
Last column: nearest neighbours and their distance in Å.
Space group F-43m (No. 216)
One atom of each set of equivalent atoms:
1 Pu 0.0000 0.0000 0.0000 (multiplicity 4)  4 Cd 3.22, 4 Ge 3.22
2 Th 0.0000 0.0000 0.5000 (multiplicity 4)  4 Ge 3.22, 4 Cd 3.22
3 Cd 0.2500 0.2500 0.7500 (multiplicity 4)  4 Th 3.22, 4 Pu 3.22
4 Ge 0.2500 0.2500 0.2500 (multiplicity 4)  4 Pu 3.22, 4 Th 3.22

## Properties
Total magnetic moment = 1.5226 μB/atom
Energy of formation from the pure elements = -0.19 eV per atom
Final energy = -112.221 eV per cell

=====

Entry 8:
## PuTlCdGe (PBE-GGA)

Data for crystalline PuTlCdGe at its relaxed geometry.

a = 7.2782 Å, b = 7.2782 Å, c = 7.2782 Å
α = 90.00°, β = 90.00°, γ = 90.00°
Last column: nearest neighbours and their distance in Å.
Space group F-43m (No. 216)
One atom of each set of equivalent atoms:
1 Pu 0.0000 0.0000 0.0000 (multiplicity 4)  4 Ge 3.15, 4 Tl 3.15
2 Tl 0.2500 0.2500 0.7500 (multiplicity 4)  4 Cd 3.15, 4 Pu 3.15
3 Cd 0.0000 0.0000 0.5000 (multiplicity 4)  4 Ge 3.15, 4 Tl 3.15
4 Ge 0.2500 0.2500 0.2500 (multiplicity 4)  4 Cd 3.15, 4 Pu 3.15

## Properties
Total magnetic moment = 1.3684 μB/atom
Energy of formation from the pure elements = -0.03 eV per atom
Final energy = -89.441 eV per cell

=====

no.,theoretical density (g/cm3),V (Å³/cell)
1,11.146,551.4
2,10.798,310.5
3,11.937,539.6
4,8.693,494.4
5,11.824,354.0
6,9.510,404.7
7,10.725,409.4
8,10.913,385.5